Record 1
Computed, not measured: a relaxed structure of Rb2CaSbBr6 at the GGA-PBE level of DFT.

Magnetic moment = 0.10 μB per atom
Space group = I4/mmm (139)
Formation energy (no corrections) = -1.34 eV per atom

Structure (extended XYZ):
```
10
Lattice="8.0478 0.0000 0.0000 0.0000 8.0478 0.0000 4.0239 4.0239 6.3304" Properties=species:S:1:pos:R:3 pbc="T T T"
Br 1.9797 1.9797 0.0000
Br 1.9797 6.0680 0.0000
Rb 8.0478 4.0239 3.1652
Sb 0.0000 0.0000 0.0000
Rb 4.0239 8.0478 3.1652
Br 4.0239 4.0239 2.8362
Br 6.0680 1.9797 0.0000
Br 6.0680 6.0680 0.0000
Ca 4.0239 4.0239 0.0000
Br 8.0478 8.0478 3.4941
```

=====

Record 2
Computed, not measured: a relaxed structure of Rb2CaScBr6 at the GGA-PBE level of DFT.

Magnetic moment = 0.10 μB per atom
Space group = Fm-3m (225)
Formation energy (no corrections) = -1.72 eV per atom

Structure (extended XYZ):
```
10
Lattice="7.9250 0.0000 0.0000 0.0000 7.9250 0.0000 3.9625 3.9625 5.6040" Properties=species:S:1:pos:R:3 pbc="T T T"
Br 3.9625 3.9625 2.8651
Br 5.9885 5.9885 0.0000
Ca 3.9625 3.9625 0.0000
Br 1.9365 5.9885 0.0000
Sc 0.0000 0.0000 0.0000
Br 1.9365 1.9365 0.0000
Rb 7.9250 3.9625 2.8020
Rb 3.9625 7.9250 2.8020
Br 7.9250 7.9250 2.7390
Br 5.9885 1.9365 0.0000
```